No. 1
This record from Alexandria describes a geometry-optimized CrCd2Tc structure. The functional is PBEsol.

## Properties
ΔE_f ... 0.6407 eV/atom
E above lowest polymorph ... 0.39 eV per formula unit
M_tot ... 6.2 μB per cell

Cell lengths 2.802, 2.802, 28.402 Å; angles 90.00, 90.00, 120.00 degrees
Fractional positions:
Cr (0.000, 0.000, 0.000)
Cr (0.333, 0.667, 0.667)
Cr (0.667, 0.333, 0.333)
Cd (0.000, 0.000, 0.251)
Cd (0.000, 0.000, 0.749)
Cd (0.333, 0.667, 0.416)
Cd (0.333, 0.667, 0.918)
Cd (0.667, 0.333, 0.082)
Cd (0.667, 0.333, 0.584)
Tc (0.000, 0.000, 0.500)
Tc (0.333, 0.667, 0.167)
Tc (0.667, 0.333, 0.833)

***

No. 2
This record from Alexandria describes a geometry-optimized CrCd2Tc structure. The functional is PBEsol.

## Properties
ΔE_f ... 0.5899 eV/atom
E above lowest polymorph ... 0.19 eV per formula unit
M_tot ... 5.4 μB per cell

Cell lengths 5.360, 9.302, 2.770 Å; angles 90.00, 108.47, 90.00 degrees
Fractional positions:
Cr (0.000, 0.000, 0.000)
Cr (0.500, 0.500, 0.000)
Cd (0.250, 0.250, 0.500)
Cd (0.250, 0.750, 0.500)
Cd (0.750, 0.250, 0.500)
Cd (0.750, 0.750, 0.500)
Tc (0.000, 0.500, 0.000)
Tc (0.500, 0.000, 0.000)

***

No. 3
This record from Alexandria describes a geometry-optimized CrCd2Tc structure. The functional is PBEsol.

## Properties
ΔE_f ... 0.5420 eV/atom
E above lowest polymorph ... 0.00 eV per formula unit
M_tot ... 3.6 μB per cell

Cell lengths 3.348, 4.255, 9.088 Å; angles 90.00, 90.00, 90.00 degrees
Fractional positions:
Cr (0.000, 0.000, 0.000)
Cr (0.500, 0.500, 0.500)
Cd (0.000, 0.500, 0.255)
Cd (0.000, 0.500, 0.745)
Cd (0.500, 0.000, 0.245)
Cd (0.500, 0.000, 0.755)
Tc (0.000, 0.000, 0.500)
Tc (0.500, 0.500, 0.000)

***

No. 4
This record from Alexandria describes a geometry-optimized CrCdTe2 structure. The functional is PBEsol.

## Properties
E_form (uncorrected) ... 0.88 eV/f.u.
M_tot ... 2.7 μB per cell

Cell lengths 3.236, 3.236, 8.901 Å; angles 90.00, 90.00, 90.00 degrees
Fractional positions:
Cr (0.000, 0.000, 0.000)
Cd (0.500, 0.500, 0.786)
Te (0.000, 0.000, 0.514)
Te (0.500, 0.500, 0.161)

***

No. 5
This record from Alexandria describes a geometry-optimized CrCdTe2 structure. The functional is PBEsol.

## Properties
E_form (uncorrected) ... 0.71 eV/f.u.
M_tot ... 3.3 μB per cell

Cell lengths 4.970, 3.897, 5.805 Å; angles 90.00, 111.09, 90.00 degrees
Fractional positions:
Cr (0.000, 0.000, 0.000)
Cd (0.000, 0.000, 0.500)
Te (0.374, 0.500, 0.194)
Te (0.626, 0.500, 0.806)

***

No. 6
This record from Alexandria describes a geometry-optimized CrCd2Te structure. The functional is PBEsol.

## Properties
E_form (uncorrected) ... 1.05 eV/f.u.
M_tot ... 7.8 μB per cell

Cell lengths 3.568, 4.090, 12.303 Å; angles 90.00, 90.00, 90.00 degrees
Fractional positions:
Cr (0.000, 0.000, 0.000)
Cr (0.500, 0.500, 0.500)
Cd (0.000, 0.500, 0.298)
Cd (0.000, 0.500, 0.702)
Cd (0.500, 0.000, 0.202)
Cd (0.500, 0.000, 0.798)
Te (0.000, 0.000, 0.500)
Te (0.500, 0.500, 0.000)

***

No. 7
This record from Alexandria describes a geometry-optimized Cr2CdTe2 structure. The functional is PBEsol.

## Properties
E_form (uncorrected) ... 0.83 eV/f.u.
M_tot ... 1.5 μB per cell

Cell lengths 3.556, 3.556, 17.602 Å; angles 90.00, 90.00, 90.00 degrees
Fractional positions:
Cr (0.000, 0.500, 0.250)
Cr (0.000, 0.500, 0.750)
Cr (0.500, 0.000, 0.250)
Cr (0.500, 0.000, 0.750)
Cd (0.000, 0.000, 0.000)
Cd (0.500, 0.500, 0.500)
Te (0.000, 0.000, 0.357)
Te (0.000, 0.000, 0.643)
Te (0.500, 0.500, 0.143)
Te (0.500, 0.500, 0.857)

***

No. 8
This record from Alexandria describes a geometry-optimized CrCd2Te structure. The functional is PBEsol.

## Properties
E_form (uncorrected) ... 1.01 eV/f.u.
M_tot ... 6.6 μB per cell

Cell lengths 3.345, 4.520, 11.938 Å; angles 90.00, 90.00, 90.00 degrees
Fractional positions:
Cr (0.000, 0.000, 0.000)
Cr (0.500, 0.500, 0.500)
Cd (0.000, 0.000, 0.472)
Cd (0.000, 0.500, 0.304)
Cd (0.500, 0.000, 0.804)
Cd (0.500, 0.500, 0.972)
Te (0.000, 0.500, 0.672)
Te (0.500, 0.000, 0.172)

***

| no. | D(E_F) (states/eV/atom) |
| --- | --- |
| 1 | 1.24 |
| 2 | 0.84 |
| 3 | 0.84 |
| 4 | 0.50 |
| 5 | 0.40 |
| 6 | 0.45 |
| 7 | 0.72 |
| 8 | 0.45 |